YPaCrSe6: relaxed, GGA-PBE.

The value obtained for the uncorrected formation energy is -998.5 meV/atom. The value obtained for the calculated density is 5828 kg/m3. The value obtained for the total energy is -6.164 eV per atom. The volume comes out at 26.8 A^3/atom. The value obtained for the density of states at the Fermi level is 0.528 states/eV/atom.

Cell: 6.7744 6.7744 6.0629 Å, 90.00 90.00 120.00°
Space group P312 (No. 149)
One atom of each set of equivalent atoms:
Y 0.0000 0.0000 0.0000 (multiplicity 1)
Pa 0.6667 0.3333 0.5000 (multiplicity 1)
Cr 0.3333 0.6667 0.0000 (multiplicity 1)
Se 0.0254 0.3681 0.2462 (multiplicity 6)